# 1
CsPmAgTe3: relaxed, PBE-GGA.

Cell lengths 9.2670, 9.2670, 11.5563 Å; angles 90.00, 90.00, 152.33 degrees
Last column: nearest neighbours and their distance in Å.
Sites, in units of the cell vectors:
Cs 0.2495 0.7505 0.7500  8 Te 3.91-4.23
Cs 0.7505 0.2495 0.2500  8 Te 3.91-4.23
Pm 0.0000 0.0000 0.0000  6 Te 3.16
Pm 0.0000 0.0000 0.5000  6 Te 3.16
Ag 0.4719 0.5281 0.2500  4 Te 2.80-2.85
Ag 0.5281 0.4719 0.7500  4 Te 2.80-2.85
Te 0.0715 0.9285 0.2500  2 Ag 2.85, 2 Pm 3.16
Te 0.3796 0.6204 0.0554  1 Ag 2.80
Te 0.3796 0.6204 0.4446  1 Ag 2.80
Te 0.6204 0.3796 0.5554  1 Ag 2.80
Te 0.6204 0.3796 0.9446  1 Ag 2.80
Te 0.9285 0.0715 0.7500  2 Ag 2.85, 2 Pm 3.16

Results
Raw formation energy   -937 meV per atom
Magnetic moment   0.000 μB per formula unit
Mass density   5.539 g/cm³

# 2
CsPm3Ag2Te6: relaxed, PBE-GGA.

Cell lengths 11.0839, 11.0839, 9.6481 Å; angles 109.21, 109.21, 23.82 degrees
Last column: nearest neighbours and their distance in Å.
Sites, in units of the cell vectors:
Cs 0.0000 0.0000 0.0000  6 Te 3.62-3.68
Pm 0.0000 0.0000 0.5000  6 Te 3.09-3.35
Pm 0.3288 0.3288 0.1613  6 Te 3.10-3.32, 1 Ag 3.35
Pm 0.6712 0.6712 0.8387  6 Te 3.10-3.32, 1 Ag 3.35
Ag 0.2446 0.2446 0.3955  4 Te 2.93-3.00, 2 Ag 3.01
Ag 0.7554 0.7554 0.6045  4 Te 2.93-3.00, 2 Ag 3.01
Te 0.1632 0.1632 0.5841  3 Ag 2.93-3.00
Te 0.1775 0.1775 0.0709  1 Ag 2.98, 3 Pm 3.10-3.17
Te 0.4809 0.4809 0.2738  3 Pm 3.09-3.11
Te 0.5191 0.5191 0.7262  3 Pm 3.09-3.11
Te 0.8225 0.8225 0.9291  1 Ag 2.98, 3 Pm 3.10-3.17
Te 0.8368 0.8368 0.4159  3 Ag 2.93-3.00

Results
Raw formation energy   -1061 meV per atom
Magnetic moment   0.000 μB per formula unit
Mass density   5.707 g/cm³

# 3
CsPrAgS2: relaxed, PBE-GGA.

Cell lengths 8.0358, 5.1970, 8.2277 Å; angles 90.00, 99.60, 90.00 degrees
Last column: nearest neighbours and their distance in Å.
Sites, in units of the cell vectors:
Cs 0.0000 0.1432 0.2500  6 S 3.66-3.68
Cs 0.0000 0.8568 0.7500  6 S 3.66-3.68
Pr 0.5000 0.4937 0.7500  4 S 2.82
Pr 0.5000 0.5063 0.2500  4 S 2.82
Ag 0.5000 0.0000 0.0000  2 S 2.56
Ag 0.5000 0.0000 0.5000  2 S 2.56
S 0.2767 0.3552 0.9652  1 Ag 2.56, 2 Pr 2.82
S 0.2767 0.6448 0.4652  1 Ag 2.56, 2 Pr 2.82
S 0.7233 0.3552 0.5348  1 Ag 2.56, 2 Pr 2.82
S 0.7233 0.6448 0.0348  1 Ag 2.56, 2 Pr 2.82

Results
Raw formation energy   -1087 meV per atom
Magnetic moment   0.000 μB per formula unit
Mass density   4.370 g/cm³

# 4
CsPrAgSe3: relaxed, PBE-GGA.

Cell lengths 8.4257, 8.4257, 11.3054 Å; angles 90.00, 90.00, 150.18 degrees
Last column: nearest neighbours and their distance in Å.
Sites, in units of the cell vectors:
Cs 0.2451 0.7549 0.7500  8 Se 3.69-3.98
Cs 0.7549 0.2451 0.2500  8 Se 3.69-3.98
Pr 0.5000 0.5000 0.0000  6 Se 3.00
Pr 0.5000 0.5000 0.5000  6 Se 3.00
Ag 0.0356 0.9644 0.2500  4 Se 2.63-2.69
Ag 0.9644 0.0356 0.7500  4 Se 2.63-2.69
Se 0.1219 0.8781 0.0535  1 Ag 2.63
Se 0.1219 0.8781 0.4465  1 Ag 2.63
Se 0.4380 0.5620 0.2500  2 Ag 2.69, 2 Pr 3.00
Se 0.5620 0.4380 0.7500  2 Ag 2.69, 2 Pr 3.00
Se 0.8781 0.1219 0.5535  1 Ag 2.63
Se 0.8781 0.1219 0.9465  1 Ag 2.63

Results
Raw formation energy   -1126 meV per atom
Magnetic moment   0.000 μB per formula unit
Mass density   5.148 g/cm³

# 5
CsPr2AgSe4: relaxed, PBE-GGA.

Cell lengths 7.8274, 7.8274, 15.2361 Å; angles 90.00, 90.00, 147.41 degrees
Last column: nearest neighbours and their distance in Å.
Sites, in units of the cell vectors:
Cs 0.1146 0.8854 0.7500  6 Se 3.48-3.66
Cs 0.8854 0.1146 0.2500  6 Se 3.48-3.66
Pr 0.3681 0.6319 0.5645  6 Se 2.98-3.12
Pr 0.3681 0.6319 0.9355  6 Se 2.98-3.12
Pr 0.6319 0.3681 0.0645  6 Se 2.98-3.12
Pr 0.6319 0.3681 0.4355  6 Se 2.98-3.12
Ag 0.1629 0.8371 0.2500  4 Se 2.64-2.67
Ag 0.8371 0.1629 0.7500  4 Se 2.64-2.67
Se 0.0000 0.0000 0.0000  4 Pr 3.12
Se 0.0000 0.0000 0.5000  4 Pr 3.12
Se 0.2597 0.7403 0.1029  1 Ag 2.67, 2 Pr 2.98
Se 0.2597 0.7403 0.3971  1 Ag 2.67, 2 Pr 2.98
Se 0.4350 0.5650 0.7500  2 Ag 2.64
Se 0.5650 0.4350 0.2500  2 Ag 2.64
Se 0.7403 0.2597 0.6029  1 Ag 2.67, 2 Pr 2.98
Se 0.7403 0.2597 0.8971  1 Ag 2.67, 2 Pr 2.98

Results
Raw formation energy   -1489 meV per atom
Magnetic moment   0.000 μB per formula unit
Mass density   5.537 g/cm³

# 6
CsPr2AgTe4: relaxed, PBE-GGA.

Cell lengths 8.3152, 8.3152, 16.2092 Å; angles 90.00, 90.00, 147.60 degrees
Last column: nearest neighbours and their distance in Å.
Sites, in units of the cell vectors:
Cs 0.1172 0.8828 0.7500  6 Te 3.69-3.82
Cs 0.8828 0.1172 0.2500  6 Te 3.69-3.82
Pr 0.3684 0.6316 0.5658  6 Te 3.18-3.31
Pr 0.3684 0.6316 0.9342  6 Te 3.18-3.31
Pr 0.6316 0.3684 0.0658  6 Te 3.18-3.31
Pr 0.6316 0.3684 0.4342  6 Te 3.18-3.31
Ag 0.1616 0.8384 0.2500  4 Te 2.81-2.84
Ag 0.8384 0.1616 0.7500  4 Te 2.81-2.84
Te 0.0000 0.0000 0.0000  4 Pr 3.31
Te 0.0000 0.0000 0.5000  4 Pr 3.31
Te 0.2619 0.7381 0.1054  1 Ag 2.84
Te 0.2619 0.7381 0.3946  1 Ag 2.84
Te 0.4374 0.5626 0.7500  2 Ag 2.81
Te 0.5626 0.4374 0.2500  2 Ag 2.81
Te 0.7381 0.2619 0.6054  1 Ag 2.84
Te 0.7381 0.2619 0.8946  1 Ag 2.84

Results
Raw formation energy   -1191 meV per atom
Magnetic moment   0.000 μB per formula unit
Mass density   5.713 g/cm³

# 7
CsPr2Ag3Te5: relaxed, PBE-GGA.

Cell lengths 8.5602, 8.5602, 19.0572 Å; angles 90.00, 90.00, 148.26 degrees
Last column: nearest neighbours and their distance in Å.
Sites, in units of the cell vectors:
Cs 0.0594 0.9406 0.7500  8 Te 3.84-3.93
Cs 0.9406 0.0594 0.2500  8 Te 3.84-3.93
Pr 0.1898 0.8102 0.0928  6 Te 3.17-3.28
Pr 0.1898 0.8102 0.4072  6 Te 3.17-3.28
Pr 0.8102 0.1898 0.5928  6 Te 3.17-3.28
Pr 0.8102 0.1898 0.9072  6 Te 3.17-3.28
Ag 0.3402 0.6598 0.7500  4 Te 2.80-2.99
Ag 0.4121 0.5879 0.0287  4 Te 2.86-2.97, 1 Ag 3.09
Ag 0.4121 0.5879 0.4713  4 Te 2.86-2.97, 1 Ag 3.09
Ag 0.5879 0.4121 0.5287  4 Te 2.86-2.97, 1 Ag 3.09
Ag 0.5879 0.4121 0.9713  4 Te 2.86-2.97, 1 Ag 3.09
Ag 0.6598 0.3402 0.2500  4 Te 2.80-2.99
Te 0.1727 0.8273 0.5738  2 Ag 2.86, 1 Pr 3.19
Te 0.1727 0.8273 0.9262  2 Ag 2.86, 1 Pr 3.19
Te 0.2533 0.7467 0.2500  2 Ag 2.80
Te 0.4411 0.5589 0.6194  3 Ag 2.86-2.99
Te 0.4411 0.5589 0.8806  3 Ag 2.86-2.99
Te 0.5589 0.4411 0.1194  3 Ag 2.86-2.99
Te 0.5589 0.4411 0.3806  3 Ag 2.86-2.99
Te 0.7467 0.2533 0.7500  2 Ag 2.80
Te 0.8273 0.1727 0.0738  2 Ag 2.86, 1 Pr 3.19
Te 0.8273 0.1727 0.4262  2 Ag 2.86, 1 Pr 3.19

Results
Raw formation energy   -916 meV per atom
Magnetic moment   0.000 μB per formula unit
Mass density   6.221 g/cm³

# 8
CsPrAgTe3: relaxed, PBE-GGA.

Cell lengths 9.2882, 9.2882, 11.6471 Å; angles 90.00, 90.00, 152.01 degrees
Last column: nearest neighbours and their distance in Å.
Sites, in units of the cell vectors:
Cs 0.2501 0.7499 0.7500  8 Te 3.90-4.30
Cs 0.7499 0.2501 0.2500  8 Te 3.90-4.30
Pr 0.0000 0.0000 0.0000  6 Te 3.20-3.21
Pr 0.0000 0.0000 0.5000  6 Te 3.20-3.21
Ag 0.4746 0.5254 0.2500  4 Te 2.80-2.86
Ag 0.5254 0.4746 0.7500  4 Te 2.80-2.86
Te 0.0730 0.9270 0.2500  2 Ag 2.86, 2 Pr 3.20
Te 0.3792 0.6208 0.0600  1 Ag 2.80
Te 0.3792 0.6208 0.4400  1 Ag 2.80
Te 0.6208 0.3792 0.5600  1 Ag 2.80
Te 0.6208 0.3792 0.9400  1 Ag 2.80
Te 0.9270 0.0730 0.7500  2 Ag 2.86, 2 Pr 3.20

Results
Raw formation energy   -935 meV per atom
Magnetic moment   0.000 μB per formula unit
Mass density   5.384 g/cm³

# 9
Cs2AgPt2: relaxed, PBE-GGA.

Cell lengths 7.1361, 7.1361, 5.6876 Å; angles 90.00, 90.00, 90.00 degrees
Last column: nearest neighbours and their distance in Å.
Sites, in units of the cell vectors:
Cs 0.1812 0.3188 0.0000  6 Pt 3.43-3.62, 5 Cs 3.66-3.70
Cs 0.3188 0.8188 0.0000  6 Pt 3.43-3.62, 5 Cs 3.66-3.70
Cs 0.6812 0.1812 0.0000  6 Pt 3.43-3.62, 5 Cs 3.66-3.70
Cs 0.8188 0.6812 0.0000  6 Pt 3.43-3.62, 5 Cs 3.66-3.70
Ag 0.0000 0.0000 0.5000  4 Pt 2.81
Ag 0.5000 0.5000 0.5000  4 Pt 2.81
Pt 0.1281 0.6281 0.5000  1 Pt 2.58, 2 Ag 2.81
Pt 0.3719 0.1281 0.5000  1 Pt 2.58, 2 Ag 2.81
Pt 0.6281 0.8719 0.5000  1 Pt 2.58, 2 Ag 2.81
Pt 0.8719 0.3719 0.5000  1 Pt 2.58, 2 Ag 2.81

Results
ΔH_f (0 K)   0.168 eV/atom
Polymorph energy (0 for the lowest one)   0.184 eV/atom
Magnetic moment   0.000 μB per formula unit
Mass density   8.759 g/cm³

# 10
CsAg3Pt: relaxed, PBE-GGA.

Cell lengths 5.3089, 5.3089, 5.3089 Å; angles 90.00, 90.00, 90.00 degrees
Last column: nearest neighbours and their distance in Å.
Sites, in units of the cell vectors:
Cs 0.0000 0.0000 0.0000  12 Ag 3.75
Ag 0.0000 0.5000 0.5000  2 Pt 2.65
Ag 0.5000 0.0000 0.5000  2 Pt 2.65
Ag 0.5000 0.5000 0.0000  2 Pt 2.65
Pt 0.5000 0.5000 0.5000  6 Ag 2.65

Results
ΔH_f (0 K)   0.288 eV/atom
Polymorph energy (0 for the lowest one)   0.000 eV/atom
Magnetic moment   0.000 μB per formula unit
Mass density   7.231 g/cm³

# 11
Cs3AgPt: relaxed, PBE-GGA.

Cell lengths 7.9032, 7.9032, 11.1307 Å; angles 102.95, 102.95, 44.75 degrees
Last column: nearest neighbours and their distance in Å.
Sites, in units of the cell vectors:
Cs 0.0808 0.0808 0.2428  1 Pt 3.28
Cs 0.3575 0.3575 0.4942  2 Pt 3.36, 1 Ag 3.75
Cs 0.3620 0.3620 0.1237  3 Ag 3.74-4.00, 1 Cs 4.14
Cs 0.6380 0.6380 0.8763  3 Ag 3.74-4.00, 1 Cs 4.14
Cs 0.6425 0.6425 0.5058  2 Pt 3.36, 1 Ag 3.75
Cs 0.9192 0.9192 0.7572  1 Pt 3.28
Ag 0.2425 0.2425 0.7607  1 Pt 2.70
Ag 0.7575 0.7575 0.2393  1 Pt 2.70
Pt 0.0759 0.0759 0.5898  1 Pt 2.60, 1 Ag 2.70
Pt 0.9241 0.9241 0.4102  1 Pt 2.60, 1 Ag 2.70

Results
ΔH_f (0 K)   0.004 eV/atom
Polymorph energy (0 for the lowest one)   0.000 eV/atom
Magnetic moment   0.000 μB per formula unit
Mass density   4.908 g/cm³

Please write out number 6 again, unchanged.
CsPr2AgTe4: relaxed, PBE-GGA.

Cell lengths 8.3152, 8.3152, 16.2092 Å; angles 90.00, 90.00, 147.60 degrees
Last column: nearest neighbours and their distance in Å.
Sites, in units of the cell vectors:
Cs 0.1172 0.8828 0.7500  6 Te 3.69-3.82
Cs 0.8828 0.1172 0.2500  6 Te 3.69-3.82
Pr 0.3684 0.6316 0.5658  6 Te 3.18-3.31
Pr 0.3684 0.6316 0.9342  6 Te 3.18-3.31
Pr 0.6316 0.3684 0.0658  6 Te 3.18-3.31
Pr 0.6316 0.3684 0.4342  6 Te 3.18-3.31
Ag 0.1616 0.8384 0.2500  4 Te 2.81-2.84
Ag 0.8384 0.1616 0.7500  4 Te 2.81-2.84
Te 0.0000 0.0000 0.0000  4 Pr 3.31
Te 0.0000 0.0000 0.5000  4 Pr 3.31
Te 0.2619 0.7381 0.1054  1 Ag 2.84
Te 0.2619 0.7381 0.3946  1 Ag 2.84
Te 0.4374 0.5626 0.7500  2 Ag 2.81
Te 0.5626 0.4374 0.2500  2 Ag 2.81
Te 0.7381 0.2619 0.6054  1 Ag 2.84
Te 0.7381 0.2619 0.8946  1 Ag 2.84

Results
Raw formation energy   -1191 meV per atom
Magnetic moment   0.000 μB per formula unit
Mass density   5.713 g/cm³

> Which value of mass density does entry 7 give?

6.221 g/cm³